(1)
## TaTl2Cl (GGA-PBE)

Data for a geometry-optimized TaTl2Cl structure.

a = 3.1537 Å, b = 5.7891 Å, c = 11.1439 Å
α = 90.00°, β = 90.00°, γ = 90.00°
Space group Cmm2 (No. 35)
Asymmetric unit:
Ta 0.0000 0.0000 0.0000 x2
Tl 0.0000 0.0000 0.4931 x2
Tl 0.0000 0.5000 0.2299 x2
Cl 0.0000 0.5000 0.8274 x2

Offset from the most stable computed form (meV/atom): 133

(2)
## Y3HoO6 (GGA-PBE)

Data for a geometry-optimized Y3HoO6 structure.

a = 7.8531 Å, b = 11.2762 Å, c = 3.5370 Å
α = 90.00°, β = 90.00°, γ = 90.00°
Space group Cmmm (No. 65)
Asymmetric unit:
Y 0.0000 0.0000 0.0000 x2
Y 0.2500 0.2500 0.5000 x4
Ho 0.0000 0.5000 0.0000 x2
O 0.0000 0.3652 0.5000 x4
O 0.2018 0.1278 0.0000 x8

Offset from the most stable computed form (meV/atom): 319

(3)
## LiGaSnCl6 (GGA-PBE)

Data for a geometry-optimized LiGaSnCl6 structure.

a = 6.4533 Å, b = 6.4533 Å, c = 6.1269 Å
α = 90.00°, β = 90.00°, γ = 120.00°
Space group P312 (No. 149)
Asymmetric unit:
Li 0.0000 0.0000 0.0000 x1
Ga 0.3333 0.6667 0.0000 x1
Sn 0.6667 0.3333 0.5000 x1
Cl 0.0379 0.3513 0.2247 x6

E (eV for the cell shown): -30.60

(4)
## ZrScCr2 (GGA-PBE)

Data for a geometry-optimized ZrScCr2 structure.

a = 3.3119 Å, b = 3.3119 Å, c = 6.5015 Å
α = 90.00°, β = 90.00°, γ = 90.00°
Space group P4/mmm (No. 123)
Asymmetric unit:
Zr 0.0000 0.0000 0.0000 x1
Sc 0.0000 0.0000 0.5000 x1
Cr 0.5000 0.5000 0.2394 x2

Calculated formation energy (eV per atom): 0.24

(5)
## TaTe2PbO8 (GGA-PBE)

Data for a geometry-optimized TaTe2PbO8 structure.

a = 7.3629 Å, b = 6.9576 Å, c = 7.0468 Å
α = 90.00°, β = 91.38°, γ = 90.00°
Space group C2/m (No. 12)
Asymmetric unit:
Ta 0.0000 0.0000 0.0000 x2
Te 0.0352 0.5000 0.7592 x4
Pb 0.0000 0.0000 0.5000 x2
O 0.0318 0.1932 0.7915 x8
O 0.1833 0.5000 0.5412 x4
O 0.2288 0.5000 0.9494 x4

E (eV for the cell shown): -158.86

(6)
## NbB2S (GGA-PBE)

Data for a geometry-optimized NbB2S structure.

a = 5.5457 Å, b = 5.5457 Å, c = 6.1100 Å
α = 90.00°, β = 90.00°, γ = 90.00°
Space group I-42d (No. 122)
Asymmetric unit:
Nb 0.0000 0.0000 0.0000 x4
B 0.1777 0.2500 0.6250 x8
S 0.0000 0.0000 0.5000 x4

E (eV for the cell shown): -102.62

(7)
## AlTl2Ni (GGA-PBE)

Data for a geometry-optimized AlTl2Ni structure.

a = 8.4976 Å, b = 3.1756 Å, c = 7.1124 Å
α = 90.00°, β = 107.97°, γ = 90.00°
Space group Cm (No. 8)
Asymmetric unit:
Al 0.0000 0.0000 0.0000 x2
Tl 0.1921 0.0000 0.6698 x2
Tl 0.3600 0.0000 0.3279 x2
Ni 0.2133 0.5000 0.9978 x2

Offset from the most stable computed form (meV/atom): 67
Calculated formation energy (eV per atom): 0.09

(8)
## Sc6AlRu2 (GGA-PBE)

Data for a geometry-optimized Sc6AlRu2 structure.

a = 4.7760 Å, b = 4.7760 Å, c = 8.8204 Å
α = 90.00°, β = 90.00°, γ = 120.00°
Space group P-3m1 (No. 164)
Asymmetric unit:
Sc 0.0000 0.0000 0.1849 x2
Sc 0.3333 0.6667 0.9998 x2
Sc 0.3333 0.6667 0.3834 x2
Al 0.0000 0.0000 0.5000 x1
Ru 0.3333 0.6667 0.7004 x2

Calculated formation energy (eV per atom): -0.34

(9)
## MgTiV3 (GGA-PBE)

Data for a geometry-optimized MgTiV3 structure.

a = 4.4965 Å, b = 4.4965 Å, c = 4.4965 Å
α = 90.00°, β = 90.00°, γ = 90.00°
Space group Pm-3m (No. 221)
Asymmetric unit:
Mg 0.0000 0.0000 0.0000 x1
Ti 0.5000 0.5000 0.5000 x1
V 0.0000 0.0000 0.5000 x3

Calculated formation energy (eV per atom): 1.72

(10)
## RbNaGeRh2 (GGA-PBE)

Data for a geometry-optimized RbNaGeRh2 structure.

a = 4.9554 Å, b = 4.9554 Å, c = 5.0097 Å
α = 90.00°, β = 90.00°, γ = 90.00°
Space group P4/mmm (No. 123)
Asymmetric unit:
Rb 0.0000 0.0000 0.0000 x1
Na 0.5000 0.5000 0.5000 x1
Ge 0.5000 0.5000 0.0000 x1
Rh 0.0000 0.5000 0.5000 x2

Calculated formation energy (eV per atom): 1.25

(11)
## Y2Tl2I (GGA-PBE)

Data for a geometry-optimized Y2Tl2I structure.

a = 5.9130 Å, b = 5.9130 Å, c = 9.7763 Å
α = 90.00°, β = 90.00°, γ = 90.00°
Space group I4/mmm (No. 139)
Asymmetric unit:
Y 0.0000 0.5000 0.2500 x4
Tl 0.0000 0.0000 0.1473 x4
I 0.0000 0.0000 0.5000 x2

Offset from the most stable computed form (meV/atom): 458

(12)
## Be2HgRh (GGA-PBE)

Data for a geometry-optimized Be2HgRh structure.

a = 2.9702 Å, b = 2.9702 Å, c = 5.9266 Å
α = 90.00°, β = 90.00°, γ = 90.00°
Space group P4mm (No. 99)
Asymmetric unit:
Be 0.0000 0.0000 0.0000 x1
Be 0.5000 0.5000 0.2050 x1
Hg 0.0000 0.0000 0.4757 x1
Rh 0.5000 0.5000 0.8334 x1

Calculated formation energy (eV per atom): -0.05

(13)
## PrNi2Sn (GGA-PBE)

Data for a geometry-optimized PrNi2Sn structure.

a = 7.4288 Å, b = 6.6610 Å, c = 6.3399 Å
α = 90.00°, β = 90.00°, γ = 90.00°
Space group Pnma (No. 62)
Asymmetric unit:
Pr 0.0194 0.2500 0.1755 x4
Ni 0.1658 0.0610 0.5627 x8
Sn 0.1361 0.7500 0.3276 x4

Calculated formation energy (eV per atom): -0.45

(14)
## SbTeOs2 (GGA-PBE)

Data for a geometry-optimized SbTeOs2 structure.

a = 2.9666 Å, b = 3.9432 Å, c = 7.5313 Å
α = 90.00°, β = 90.00°, γ = 90.00°
Space group Pmm2 (No. 25)
Asymmetric unit:
Sb 0.0000 0.0000 0.0000 x1
Te 0.5000 0.5000 0.4393 x1
Os 0.0000 0.0000 0.6384 x1
Os 0.5000 0.5000 0.7930 x1

Offset from the most stable computed form (meV/atom): 118

(15)
## Li3H6Rh (GGA-PBE)

Data for a geometry-optimized Li3H6Rh structure.

a = 8.2564 Å, b = 4.7804 Å, c = 4.7903 Å
α = 90.00°, β = 124.48°, γ = 90.00°
Space group C2/m (No. 12)
Asymmetric unit:
Li 0.0000 0.0000 0.0000 x2
Li 0.2463 0.0000 0.7320 x4
H 0.0611 0.2589 0.3292 x8
H 0.2296 0.5000 0.8374 x4
Rh 0.0000 0.5000 0.5000 x2

Offset from the most stable computed form (meV/atom): 28

(16)
## Ca2GdAl (GGA-PBE)

Data for a geometry-optimized Ca2GdAl structure.

a = 4.7978 Å, b = 4.7978 Å, c = 5.1882 Å
α = 90.00°, β = 90.00°, γ = 90.00°
Space group P4/mmm (No. 123)
Asymmetric unit:
Ca 0.0000 0.5000 0.0000 x2
Gd 0.0000 0.0000 0.5000 x1
Al 0.5000 0.5000 0.5000 x1

Offset from the most stable computed form (meV/atom): 0
Calculated formation energy (eV per atom): -0.07

(17)
## NaPdI (GGA-PBE)

Data for a geometry-optimized NaPdI structure.

a = 4.7988 Å, b = 4.7996 Å, c = 8.8409 Å
α = 104.55°, β = 91.24°, γ = 119.67°
Space group P1 (No. 1)
Asymmetric unit:
Na 0.0000 0.0000 0.0000 x1
Na 0.4823 0.9331 0.4161 x1
Pd 0.5274 0.0981 0.7506 x1
Pd 0.8351 0.7053 0.6655 x1
I 0.2138 0.4349 0.7082 x1
I 0.7427 0.4683 0.2080 x1

Offset from the most stable computed form (meV/atom): 23

(18)
## Ta2Fe2Co5Si (GGA-PBE)

Data for a geometry-optimized Ta2Fe2Co5Si structure.

a = 8.3085 Å, b = 8.3085 Å, c = 3.5795 Å
α = 90.00°, β = 90.00°, γ = 90.00°
Space group P4/mbm (No. 127)
Asymmetric unit:
Ta 0.1720 0.3280 0.0000 x4
Fe 0.1259 0.6259 0.0000 x4
Co 0.0000 0.5000 0.5000 x2
Co 0.0659 0.7978 0.5000 x8
Si 0.0000 0.0000 0.0000 x2

E (eV for the cell shown): -164.93

(19)
## PuZnCuSn (GGA-PBE)

Data for a geometry-optimized PuZnCuSn structure.

a = 6.9093 Å, b = 6.9093 Å, c = 6.9093 Å
α = 90.00°, β = 90.00°, γ = 90.00°
Space group F-43m (No. 216)
Asymmetric unit:
Pu 0.0000 0.0000 0.0000 x4
Zn 0.0000 0.0000 0.5000 x4
Cu 0.2500 0.2500 0.7500 x4
Sn 0.2500 0.2500 0.2500 x4

Calculated formation energy (eV per atom): 0.00

(20)
## ZnBAs2O6 (GGA-PBE)

Data for a geometry-optimized ZnBAs2O6 structure.

a = 11.9371 Å, b = 8.3204 Å, c = 5.0859 Å
α = 90.00°, β = 110.70°, γ = 90.00°
Space group C2/c (No. 15)
Asymmetric unit:
Zn 0.0000 0.1226 0.2500 x4
B 0.0000 0.2071 0.7500 x4
As 0.2187 0.3703 0.1491 x8
O 0.0590 0.3029 0.0111 x8
O 0.0849 0.1013 0.6742 x8
O 0.2078 0.4329 0.4822 x8

E (eV for the cell shown): -242.67

Computed values of ρ (unit: g/cm3) for the preceding records, in sequence: 10.20; 5.59; 3.07; 5.59; 7.10; 5.18; 8.99; 4.75; 4.11; 5.22; 6.93; 10.21; 7.98; 11.87; 2.77; 3.68; 5.05; 10.70; 9.90; 4.53.